# CuAu2 | Alexandria | PBE | relaxed
data_CuAu2
_cell_length_a 2.888
_cell_length_b 2.888
_cell_length_c 11.610
_cell_angle_alpha 90.00
_cell_angle_beta 90.00
_cell_angle_gamma 90.00
_symmetry_space_group_name_H-M 'I 4/m m m'
_symmetry_Int_Tables_number 139
_symmetry_space_group_name_Hall '-I 4 2'
loop_
_atom_site_label
_atom_site_type_symbol
_atom_site_fract_x
_atom_site_fract_y
_atom_site_fract_z
Cu1 Cu 0.000 0.000 0.000
Au1 Au 0.000 0.000 0.345
# DOS(E_F): 1.10 states/eV/cell
# DFT total energy: -3.594 eV/atom
# ΔE_f: -43.3 meV/atom
# total magnetic moment: 0.00 μB per formula unit

***

# Cu5Au2 | Alexandria | PBE | relaxed
data_Cu5Au2
_cell_length_a 8.559
_cell_length_b 3.745
_cell_length_c 6.084
_cell_angle_alpha 90.00
_cell_angle_beta 97.63
_cell_angle_gamma 90.00
_symmetry_space_group_name_H-M 'C 1 2/m 1'
_symmetry_Int_Tables_number 12
loop_
_symmetry_equiv_pos_as_xyz
'x,y,z'
'-x,-y,-z'
'-x,y,-z'
'x,-y,z'
'x+1/2,y+1/2,z'
'-x+1/2,-y+1/2,-z'
'-x+1/2,y+1/2,-z'
'x+1/2,-y+1/2,z'
loop_
_atom_site_label
_atom_site_type_symbol
_atom_site_fract_x
_atom_site_fract_y
_atom_site_fract_z
Cu1 Cu 0.000 0.000 0.000
Cu2 Cu 0.146 0.000 0.427
Cu3 Cu 0.212 0.500 0.143
Au1 Au 0.074 0.500 0.723
# DOS(E_F): 3.91 states/eV/cell
# DFT total energy: -3.894 eV/atom
# ΔE_f: -31.5 meV/atom
# total magnetic moment: 0.00 μB per formula unit

***

# DyCu4Au8 | Alexandria | PBE | relaxed
data_DyCu4Au8
_cell_length_a 9.176
_cell_length_b 9.176
_cell_length_c 5.313
_cell_angle_alpha 90.00
_cell_angle_beta 90.00
_cell_angle_gamma 90.00
_symmetry_space_group_name_H-M 'I 4/m m m'
_symmetry_Int_Tables_number 139
_symmetry_space_group_name_Hall '-I 4 2'
loop_
_atom_site_label
_atom_site_type_symbol
_atom_site_fract_x
_atom_site_fract_y
_atom_site_fract_z
Dy1 Dy 0.000 0.000 0.000
Cu1 Cu 0.250 0.250 0.250
Au1 Au 0.000 0.219 0.500
Au2 Au 0.000 0.335 0.000
# DOS(E_F): 9.83 states/eV/cell
# DFT total energy: -3.877 eV/atom
# ΔE_f: -245.9 meV/atom
# total magnetic moment: 0.00 μB per formula unit

***

# DyCu6Au | Alexandria | PBE | relaxed
data_DyCu6Au
_cell_length_a 4.931
_cell_length_b 4.931
_cell_length_c 4.931
_cell_angle_alpha 90.00
_cell_angle_beta 90.00
_cell_angle_gamma 90.00
_symmetry_space_group_name_H-M 'P m -3'
_symmetry_Int_Tables_number 200
_symmetry_space_group_name_Hall '-P 2 2 3'
loop_
_atom_site_label
_atom_site_type_symbol
_atom_site_fract_x
_atom_site_fract_y
_atom_site_fract_z
Dy1 Dy 0.000 0.000 0.000
Cu1 Cu 0.000 0.500 0.257
Au1 Au 0.500 0.500 0.500
# DOS(E_F): 3.36 states/eV/cell
# DFT total energy: -4.038 eV/atom
# ΔE_f: 18.7 meV/atom
# total magnetic moment: 0.00 μB per formula unit

***

# Dy5Cu4Au | Alexandria | PBE | relaxed
data_Dy5Cu4Au
_cell_length_a 3.480
_cell_length_b 3.480
_cell_length_c 17.653
_cell_angle_alpha 90.00
_cell_angle_beta 90.00
_cell_angle_gamma 90.00
_symmetry_space_group_name_H-M 'P 4/m m m'
_symmetry_Int_Tables_number 123
_symmetry_space_group_name_Hall '-P 4 2'
loop_
_atom_site_label
_atom_site_type_symbol
_atom_site_fract_x
_atom_site_fract_y
_atom_site_fract_z
Dy1 Dy 0.000 0.000 0.000
Dy2 Dy 0.000 0.000 0.197
Dy3 Dy 0.000 0.000 0.395
Cu1 Cu 0.500 0.500 0.098
Cu2 Cu 0.500 0.500 0.295
Au1 Au 0.500 0.500 0.500
# DOS(E_F): 4.30 states/eV/cell
# DFT total energy: -4.641 eV/atom
# ΔE_f: -374.1 meV/atom
# total magnetic moment: 0.00 μB per formula unit

***

# Dy2Cu2Au | Alexandria | PBE | relaxed
data_Dy2Cu2Au
_cell_length_a 7.328
_cell_length_b 7.328
_cell_length_c 7.496
_cell_angle_alpha 90.00
_cell_angle_beta 90.00
_cell_angle_gamma 90.00
_symmetry_space_group_name_H-M 'P 4/m n c'
_symmetry_Int_Tables_number 128
_symmetry_space_group_name_Hall '-P 4 2n'
loop_
_atom_site_label
_atom_site_type_symbol
_atom_site_fract_x
_atom_site_fract_y
_atom_site_fract_z
Dy1 Dy 0.180 0.320 0.000
Cu1 Cu 0.118 0.618 0.250
Au1 Au 0.000 0.000 0.250
# DOS(E_F): 14.01 states/eV/cell
# DFT total energy: -4.585 eV/atom
# ΔE_f: -449.8 meV/atom
# total magnetic moment: 0.00 μB per formula unit

***

# DyCu6Au6 | Alexandria | PBE | relaxed
data_DyCu6Au6
_cell_length_a 5.168
_cell_length_b 8.984
_cell_length_c 9.016
_cell_angle_alpha 90.00
_cell_angle_beta 90.00
_cell_angle_gamma 90.00
_symmetry_space_group_name_H-M 'I m m m'
_symmetry_Int_Tables_number 71
_symmetry_space_group_name_Hall '-I 2 2'
loop_
_atom_site_label
_atom_site_type_symbol
_atom_site_fract_x
_atom_site_fract_y
_atom_site_fract_z
Dy1 Dy 0.000 0.000 0.000
Cu1 Cu 0.000 0.500 0.262
Cu2 Cu 0.250 0.250 0.250
Au1 Au 0.000 0.000 0.335
Au2 Au 0.000 0.316 0.500
Au3 Au 0.000 0.341 0.000
# DOS(E_F): 9.31 states/eV/cell
# DFT total energy: -4.002 eV/atom
# ΔE_f: -244.6 meV/atom
# total magnetic moment: 0.00 μB per formula unit

***

# Dy5Cu2Au | Alexandria | PBE | relaxed
data_Dy5Cu2Au
_cell_length_a 7.142
_cell_length_b 7.142
_cell_length_c 15.386
_cell_angle_alpha 90.00
_cell_angle_beta 90.00
_cell_angle_gamma 90.00
_symmetry_space_group_name_H-M 'I 4/m c m'
_symmetry_Int_Tables_number 140
_symmetry_space_group_name_Hall '-I 4 2c'
loop_
_atom_site_label
_atom_site_type_symbol
_atom_site_fract_x
_atom_site_fract_y
_atom_site_fract_z
Dy1 Dy 0.000 0.000 0.000
Dy2 Dy 0.170 0.330 0.147
Cu1 Cu 0.124 0.376 0.500
Au1 Au 0.000 0.000 0.250
# DOS(E_F): 46.76 states/eV/cell
# DFT total energy: -4.639 eV/atom
# ΔE_f: -328.6 meV/atom
# total magnetic moment: 0.00 μB per formula unit

***

# DyCu9Au2 | Alexandria | PBE | relaxed
data_DyCu9Au2
_cell_length_a 4.9982
_cell_length_b 4.9982
_cell_length_c 23.8715
_cell_angle_alpha 90.00
_cell_angle_beta 90.00
_cell_angle_gamma 120.00
_symmetry_space_group_name_H-M 'R -3 m'
_symmetry_Int_Tables_number 166
_symmetry_space_group_name_Hall '-R 3 2"'
loop_
_atom_site_label
_atom_site_type_symbol
_atom_site_fract_x
_atom_site_fract_y
_atom_site_fract_z
Dy1 Dy 0.0000 0.0000 0.0000
Cu1 Cu 0.0000 0.0000 0.3337
Cu2 Cu 0.0000 0.0000 0.5000
Cu3 Cu 0.0039 0.5020 0.9150
Au1 Au 0.0000 0.0000 0.1413
# DOS(E_F): 19.86 states/eV/cell
# DFT total energy: -4.135 eV/atom
# ΔE_f: -133.4 meV/atom
# total magnetic moment: 0.00 μB per formula unit

***

# Dy3CuAu3 | Alexandria | PBE | relaxed
data_Dy3CuAu3
_cell_length_a 3.668
_cell_length_b 4.539
_cell_length_c 19.066
_cell_angle_alpha 90.00
_cell_angle_beta 90.00
_cell_angle_gamma 90.00
_symmetry_space_group_name_H-M 'I m m 2'
_symmetry_Int_Tables_number 44
loop_
_symmetry_equiv_pos_as_xyz
'x,y,z'
'-x,-y,z'
'-x,y,z'
'x,-y,z'
'x+1/2,y+1/2,z+1/2'
'-x+1/2,-y+1/2,z+1/2'
'-x+1/2,y+1/2,z+1/2'
'x+1/2,-y+1/2,z+1/2'
loop_
_atom_site_label
_atom_site_type_symbol
_atom_site_fract_x
_atom_site_fract_y
_atom_site_fract_z
Dy1 Dy 0.000 0.000 0.000
Dy2 Dy 0.000 0.000 0.371
Dy3 Dy 0.000 0.500 0.189
Cu1 Cu 0.000 0.500 0.757
Au1 Au 0.000 0.000 0.532
Au2 Au 0.000 0.000 0.832
Au3 Au 0.000 0.500 0.625
# DOS(E_F): 8.74 states/eV/cell
# DFT total energy: -4.674 eV/atom
# ΔE_f: -712.3 meV/atom
# total magnetic moment: 0.00 μB per formula unit

***

# Dy12Cu6Au | Alexandria | PBE | relaxed
data_Dy12Cu6Au
_cell_length_a 13.7743
_cell_length_b 13.7743
_cell_length_c 8.7163
_cell_angle_alpha 90.00
_cell_angle_beta 90.00
_cell_angle_gamma 120.00
_symmetry_space_group_name_H-M 'R -3'
_symmetry_Int_Tables_number 148
_symmetry_space_group_name_Hall '-R 3'
loop_
_atom_site_label
_atom_site_type_symbol
_atom_site_fract_x
_atom_site_fract_y
_atom_site_fract_z
Dy1 Dy 0.0411 0.8647 0.3328
Dy2 Dy 0.0613 0.8112 0.9407
Cu1 Cu 0.0437 0.7808 0.6182
Au1 Au 0.0000 0.0000 0.0000
# DOS(E_F): 61.23 states/eV/cell
# DFT total energy: -4.439 eV/atom
# ΔE_f: -66.0 meV/atom
# total magnetic moment: 0.00 μB per formula unit

***

# Dy6Cu5Au | Alexandria | PBE | relaxed
data_Dy6Cu5Au
_cell_length_a 4.956
_cell_length_b 14.881
_cell_length_c 6.947
_cell_angle_alpha 90.00
_cell_angle_beta 90.00
_cell_angle_gamma 90.00
_symmetry_space_group_name_H-M 'C m m m'
_symmetry_Int_Tables_number 65
_symmetry_space_group_name_Hall '-C 2 2'
loop_
_atom_site_label
_atom_site_type_symbol
_atom_site_fract_x
_atom_site_fract_y
_atom_site_fract_z
Dy1 Dy 0.000 0.000 0.245
Dy2 Dy 0.000 0.332 0.247
Cu1 Cu 0.000 0.164 0.000
Cu2 Cu 0.000 0.170 0.500
Cu3 Cu 0.000 0.500 0.000
Au1 Au 0.000 0.500 0.500
# DOS(E_F): 10.72 states/eV/cell
# DFT total energy: -4.636 eV/atom
# ΔE_f: -355.1 meV/atom
# total magnetic moment: 0.00 μB per formula unit

***

# Dy3Cu4Au2 | Alexandria | PBE | relaxed
data_Dy3Cu4Au2
_cell_length_a 10.380
_cell_length_b 4.421
_cell_length_c 8.340
_cell_angle_alpha 90.00
_cell_angle_beta 112.55
_cell_angle_gamma 90.00
_symmetry_space_group_name_H-M 'C 1 2/m 1'
_symmetry_Int_Tables_number 12
loop_
_symmetry_equiv_pos_as_xyz
'x,y,z'
'-x,-y,-z'
'-x,y,-z'
'x,-y,z'
'x+1/2,y+1/2,z'
'-x+1/2,-y+1/2,-z'
'-x+1/2,y+1/2,-z'
'x+1/2,-y+1/2,z'
loop_
_atom_site_label
_atom_site_type_symbol
_atom_site_fract_x
_atom_site_fract_y
_atom_site_fract_z
Dy1 Dy 0.000 0.000 0.000
Dy2 Dy 0.163 0.500 0.672
Cu1 Cu 0.057 0.000 0.398
Cu2 Cu 0.229 0.500 0.048
Au1 Au 0.118 0.500 0.280
# DOS(E_F): 8.48 states/eV/cell
# DFT total energy: -4.549 eV/atom
# ΔE_f: -466.5 meV/atom
# total magnetic moment: 0.00 μB per formula unit

***

# Dy8CuAu2 | Alexandria | PBE | relaxed
data_Dy8CuAu2
_cell_length_a 17.626
_cell_length_b 5.097
_cell_length_c 6.803
_cell_angle_alpha 90.00
_cell_angle_beta 104.86
_cell_angle_gamma 90.00
_symmetry_space_group_name_H-M 'C 1 2/m 1'
_symmetry_Int_Tables_number 12
loop_
_symmetry_equiv_pos_as_xyz
'x,y,z'
'-x,-y,-z'
'-x,y,-z'
'x,-y,z'
'x+1/2,y+1/2,z'
'-x+1/2,-y+1/2,-z'
'-x+1/2,y+1/2,-z'
'x+1/2,-y+1/2,z'
loop_
_atom_site_label
_atom_site_type_symbol
_atom_site_fract_x
_atom_site_fract_y
_atom_site_fract_z
Dy1 Dy 0.029 0.000 0.280
Dy2 Dy 0.090 0.500 0.949
Dy3 Dy 0.162 0.500 0.472
Dy4 Dy 0.202 0.000 0.820
Cu1 Cu 0.000 0.500 0.500
Au1 Au 0.188 0.000 0.231
# DOS(E_F): 21.29 states/eV/cell
# DFT total energy: -4.661 eV/atom
# ΔE_f: -345.9 meV/atom
# total magnetic moment: 0.00 μB per formula unit

***

# DyCu8Au3 | Alexandria | PBE | relaxed
data_DyCu8Au3
_cell_length_a 4.9932
_cell_length_b 4.9932
_cell_length_c 8.1070
_cell_angle_alpha 90.00
_cell_angle_beta 90.00
_cell_angle_gamma 120.00
_symmetry_space_group_name_H-M 'P 3 m 1'
_symmetry_Int_Tables_number 156
loop_
_symmetry_equiv_pos_as_xyz
'x,y,z'
'-y,x-y,z'
'-x+y,-x,z'
'-y,-x,z'
'-x+y,y,z'
'x,x-y,z'
loop_
_atom_site_label
_atom_site_type_symbol
_atom_site_fract_x
_atom_site_fract_y
_atom_site_fract_z
Dy1 Dy 0.0000 0.0000 0.0000
Cu1 Cu 0.1653 0.3306 0.6814
Cu2 Cu 0.3333 0.6667 0.4348
Cu3 Cu 0.3333 0.6667 0.9355
Cu4 Cu 0.5024 0.0049 0.1939
Au1 Au 0.0000 0.0000 0.3758
Au2 Au 0.6667 0.3333 0.5009
Au3 Au 0.6667 0.3333 0.8744
# DOS(E_F): 5.85 states/eV/cell
# DFT total energy: -4.085 eV/atom
# ΔE_f: -151.5 meV/atom
# total magnetic moment: 0.00 μB per formula unit

***

# Dy4Cu3Au | Alexandria | PBE | relaxed
data_Dy4Cu3Au
_cell_length_a 3.783
_cell_length_b 4.541
_cell_length_c 10.376
_cell_angle_alpha 90.00
_cell_angle_beta 90.00
_cell_angle_gamma 90.00
_symmetry_space_group_name_H-M 'P m m 2'
_symmetry_Int_Tables_number 25
loop_
_symmetry_equiv_pos_as_xyz
'x,y,z'
'-x,-y,z'
'-x,y,z'
'x,-y,z'
loop_
_atom_site_label
_atom_site_type_symbol
_atom_site_fract_x
_atom_site_fract_y
_atom_site_fract_z
Dy1 Dy 0.000 0.000 0.000
Dy2 Dy 0.000 0.500 0.271
Dy3 Dy 0.500 0.000 0.488
Dy4 Dy 0.500 0.500 0.775
Cu1 Cu 0.000 0.500 0.553
Cu2 Cu 0.500 0.000 0.205
Cu3 Cu 0.500 0.500 0.062
Au1 Au 0.000 0.000 0.712
# DOS(E_F): 6.39 states/eV/cell
# DFT total energy: -4.655 eV/atom
# ΔE_f: -408.6 meV/atom
# total magnetic moment: 0.00 μB per formula unit

***

# Dy3Cu2Au4 | Alexandria | PBE | relaxed
data_Dy3Cu2Au4
_cell_length_a 10.500
_cell_length_b 4.587
_cell_length_c 8.584
_cell_angle_alpha 90.00
_cell_angle_beta 114.86
_cell_angle_gamma 90.00
_symmetry_space_group_name_H-M 'C 1 2/m 1'
_symmetry_Int_Tables_number 12
loop_
_symmetry_equiv_pos_as_xyz
'x,y,z'
'-x,-y,-z'
'-x,y,-z'
'x,-y,z'
'x+1/2,y+1/2,z'
'-x+1/2,-y+1/2,-z'
'-x+1/2,y+1/2,-z'
'x+1/2,-y+1/2,z'
loop_
_atom_site_label
_atom_site_type_symbol
_atom_site_fract_x
_atom_site_fract_y
_atom_site_fract_z
Dy1 Dy 0.000 0.000 0.000
Dy2 Dy 0.165 0.500 0.668
Cu1 Cu 0.111 0.500 0.287
Au1 Au 0.064 0.000 0.386
Au2 Au 0.214 0.500 0.064
# DOS(E_F): 9.32 states/eV/cell
# DFT total energy: -4.544 eV/atom
# ΔE_f: -643.3 meV/atom
# total magnetic moment: 0.00 μB per formula unit

***

# Dy2Cu2Au | Alexandria | PBE | relaxed
data_Dy2Cu2Au
_cell_length_a 10.496
_cell_length_b 4.052
_cell_length_c 10.708
_cell_angle_alpha 90.00
_cell_angle_beta 113.64
_cell_angle_gamma 90.00
_symmetry_space_group_name_H-M 'C 1 2/m 1'
_symmetry_Int_Tables_number 12
loop_
_symmetry_equiv_pos_as_xyz
'x,y,z'
'-x,-y,-z'
'-x,y,-z'
'x,-y,z'
'x+1/2,y+1/2,z'
'-x+1/2,-y+1/2,-z'
'-x+1/2,y+1/2,-z'
'x+1/2,-y+1/2,z'
loop_
_atom_site_label
_atom_site_type_symbol
_atom_site_fract_x
_atom_site_fract_y
_atom_site_fract_z
Dy1 Dy 0.010 0.000 0.338
Dy2 Dy 0.188 0.000 0.109
Cu1 Cu 0.030 0.500 0.894
Cu2 Cu 0.130 0.500 0.552
Au1 Au 0.215 0.500 0.328
# DOS(E_F): 11.28 states/eV/cell
# DFT total energy: -4.574 eV/atom
# ΔE_f: -439.7 meV/atom
# total magnetic moment: 0.00 μB per formula unit

***

# Dy2CuAu | Alexandria | PBE | relaxed
data_Dy2CuAu
_cell_length_a 3.547
_cell_length_b 3.547
_cell_length_c 7.034
_cell_angle_alpha 90.00
_cell_angle_beta 90.00
_cell_angle_gamma 90.00
_symmetry_space_group_name_H-M 'P 4/m m m'
_symmetry_Int_Tables_number 123
_symmetry_space_group_name_Hall '-P 4 2'
loop_
_atom_site_label
_atom_site_type_symbol
_atom_site_fract_x
_atom_site_fract_y
_atom_site_fract_z
Dy1 Dy 0.000 0.000 0.242
Cu1 Cu 0.500 0.500 0.000
Au1 Au 0.500 0.500 0.500
# DOS(E_F): 2.30 states/eV/cell
# DFT total energy: -4.700 eV/atom
# ΔE_f: -555.3 meV/atom
# total magnetic moment: 0.00 μB per formula unit

***

# DyCuAu2 | Alexandria | PBE | relaxed
data_DyCuAu2
_cell_length_a 4.5482
_cell_length_b 4.5482
_cell_length_c 13.2960
_cell_angle_alpha 90.00
_cell_angle_beta 90.00
_cell_angle_gamma 120.00
_symmetry_space_group_name_H-M 'R -3 m'
_symmetry_Int_Tables_number 166
_symmetry_space_group_name_Hall '-R 3 2"'
loop_
_atom_site_label
_atom_site_type_symbol
_atom_site_fract_x
_atom_site_fract_y
_atom_site_fract_z
Dy1 Dy 0.0000 0.0000 0.0000
Cu1 Cu 0.0000 0.0000 0.5000
Au1 Au 0.0000 0.0000 0.2251
# DOS(E_F): 4.86 states/eV/cell
# DFT total energy: -4.356 eV/atom
# ΔE_f: -542.4 meV/atom
# total magnetic moment: 0.00 μB per formula unit